(1)
Na2HfBr after structural relaxation. Source: Alexandria, functional PBE-GGA.

Cell: 7.922 7.922 7.922 Å, 90.00 90.00 90.00°
Space group Fm-3m (No. 225)
One atom of each set of equivalent atoms:
Na (0.250, 0.250, 0.250)
Hf (0.000, 0.000, 0.000)
Br (0.000, 0.000, 0.500)

Calculated total energy, eV/atom: -2.91
Formation energy (no corrections), meV/atom: 654



(2)
NaHf2Br after structural relaxation. Source: Alexandria, functional PBE-GGA.

Cell: 7.074 7.074 7.074 Å, 90.00 90.00 90.00°
Space group Fm-3m (No. 225)
One atom of each set of equivalent atoms:
Na (0.000, 0.000, 0.000)
Hf (0.250, 0.250, 0.250)
Br (0.000, 0.000, 0.500)

Calculated total energy, eV/atom: -4.99
Formation energy (no corrections), meV/atom: 730



(3)
NaHf3Br after structural relaxation. Source: Alexandria, functional PBE-GGA.

Cell: 5.026 5.026 5.026 Å, 90.00 90.00 90.00°
Space group Pm-3m (No. 221)
One atom of each set of equivalent atoms:
Na (0.000, 0.000, 0.000)
Hf (0.000, 0.500, 0.500)
Br (0.500, 0.500, 0.500)

Calculated total energy, eV/atom: -5.80
Formation energy (no corrections), meV/atom: 771



Number 1: distance to the lowest polymorph of the same formula 283.5 meV per atom. Number 2: distance to the lowest polymorph of the same formula 347.9 meV per atom. Number 3: distance to the lowest polymorph of the same formula 0.0 meV per atom.